Record 1
LaPaAgAu | PBE | optimized geometry

Lattice parameters (Å, degrees): 7.406 7.406 7.406 90.00 90.00 90.00
Space group F-43m (No. 216)
Asymmetric unit:
La (0.000, 0.000, 0.000) x4
Pa (0.000, 0.000, 0.500) x4
Ag (0.250, 0.250, 0.250) x4
Au (0.250, 0.250, 0.750) x4

The total energy comes out at -5.241 eV per atom.

Record 2
LaAgPdAu | PBE | optimized geometry

Lattice parameters (Å, degrees): 8.201 4.716 5.408 90.00 120.20 90.00
Space group Cm (No. 8)
Asymmetric unit:
La (0.000, 0.000, 0.000) x2
Ag (0.488, 0.000, 0.465) x2
Pd (0.285, 0.500, 0.356) x2
Au (0.221, 0.000, 0.662) x2

The total energy comes out at -4.636 eV per atom.

Record 3
LaPmAgAu | PBE | optimized geometry

Lattice parameters (Å, degrees): 4.872 3.930 11.424 90.00 90.00 90.00
Space group Amm2 (No. 38)
Asymmetric unit:
La (0.000, 0.000, 0.000) x2
Pm (0.500, 0.000, 0.723) x2
Ag (0.500, 0.000, 0.442) x2
Au (0.000, 0.000, 0.278) x2

The polymorph energy (0 for the lowest one) is 0 meV per atom.

Record 4
LaPmAgAu | PBE | optimized geometry

Lattice parameters (Å, degrees): 7.511 7.511 7.511 90.00 90.00 90.00
Space group F-43m (No. 216)
Asymmetric unit:
La (0.000, 0.000, 0.000) x4
Pm (0.000, 0.000, 0.500) x4
Ag (0.250, 0.250, 0.750) x4
Au (0.250, 0.250, 0.250) x4

The polymorph energy (0 for the lowest one) is 17 meV per atom.

Record 5
La2AgPtAu | PBE | optimized geometry

Lattice parameters (Å, degrees): 5.653 5.653 5.041 90.00 90.00 90.00
Space group P4/mmm (No. 123)
Asymmetric unit:
La (0.000, 0.500, 0.000) x2
Ag (0.000, 0.000, 0.500) x1
Pt (0.500, 0.500, 0.500) x1
Au (0.500, 0.500, 0.000) x1

The total energy comes out at -4.419 eV per atom.

Record 6
La4AgPtAu2 | PBE | optimized geometry

Lattice parameters (Å, degrees): 5.3427 5.3427 25.8196 90.00 90.00 120.00
Space group R-3m (No. 166, hexagonal axes)
Asymmetric unit:
La (0.0000, 0.0000, 0.1183) x6
La (0.0000, 0.0000, 0.3684) x6
Ag (0.0000, 0.0000, 0.5000) x3
Pt (0.0000, 0.0000, 0.0000) x3
Au (0.0000, 0.0000, 0.2406) x6

The total energy comes out at -5.134 eV per atom.

Record 7
La4AgRhAu2 | PBE | optimized geometry

Lattice parameters (Å, degrees): 5.3322 5.3322 25.6130 90.00 90.00 120.00
Space group R-3m (No. 166, hexagonal axes)
Asymmetric unit:
La (0.0000, 0.0000, 0.1165) x6
La (0.0000, 0.0000, 0.3672) x6
Ag (0.0000, 0.0000, 0.5000) x3
Rh (0.0000, 0.0000, 0.0000) x3
Au (0.0000, 0.0000, 0.2403) x6

The total energy comes out at -5.195 eV per atom.

Record 8
LaAgRhAu2 | PBE | optimized geometry

Lattice parameters (Å, degrees): 5.500 5.500 5.647 90.00 90.00 90.00
Space group P4/mmm (No. 123)
Asymmetric unit:
La (0.000, 0.000, 0.000) x1
Ag (0.000, 0.000, 0.500) x1
Rh (0.500, 0.500, 0.500) x1
Au (0.000, 0.500, 0.000) x2

The total energy comes out at -3.143 eV per atom.

Record 9
La2AgSn4Au3 | PBE | optimized geometry

Lattice parameters (Å, degrees): 4.657 4.657 11.503 90.00 90.00 90.00
Space group P-4m2 (No. 115)
Asymmetric unit:
La (0.000, 0.500, 0.238) x2
Ag (0.500, 0.500, 0.000) x1
Sn (0.000, 0.000, 0.500) x1
Sn (0.000, 0.500, 0.869) x2
Sn (0.500, 0.500, 0.500) x1
Au (0.000, 0.000, 0.000) x1
Au (0.000, 0.500, 0.638) x2

The total energy comes out at -4.435 eV per atom.

Record 10
La2Ag3Sn4Au | PBE | optimized geometry

Lattice parameters (Å, degrees): 4.654 4.654 11.562 90.00 90.00 90.00
Space group P-4m2 (No. 115)
Asymmetric unit:
La (0.000, 0.500, 0.236) x2
Ag (0.000, 0.000, 0.000) x1
Ag (0.000, 0.500, 0.639) x2
Sn (0.000, 0.000, 0.500) x1
Sn (0.000, 0.500, 0.869) x2
Sn (0.500, 0.500, 0.500) x1
Au (0.500, 0.500, 0.000) x1

The total energy comes out at -4.234 eV per atom.

Record 11
La2AgSnAu6 | PBE | optimized geometry

Lattice parameters (Å, degrees): 5.240 6.014 8.008 96.26 105.56 101.56
Space group P-1 (No. 2)
Asymmetric unit:
La (0.065, 0.271, 0.193) x2
Ag (0.500, 0.500, 0.000) x1
Sn (0.500, 0.000, 0.500) x1
Au (0.028, 0.233, 0.750) x2
Au (0.304, 0.554, 0.585) x2
Au (0.467, 0.939, 0.153) x2

The total energy comes out at -4.101 eV per atom.

Record 12
SrLaAgAu | PBE | optimized geometry

Lattice parameters (Å, degrees): 4.885 4.100 11.758 90.00 90.00 90.00
Space group Amm2 (No. 38)
Asymmetric unit:
Sr (0.000, 0.000, 0.000) x2
La (0.500, 0.000, 0.727) x2
Ag (0.500, 0.000, 0.438) x2
Au (0.000, 0.000, 0.276) x2

The polymorph energy (0 for the lowest one) is 0 meV per atom.

Record 13
SrLaAgAu | PBE | optimized geometry

Lattice parameters (Å, degrees): 7.645 7.645 7.645 90.00 90.00 90.00
Space group F-43m (No. 216)
Asymmetric unit:
Sr (0.000, 0.000, 0.000) x4
La (0.000, 0.000, 0.500) x4
Ag (0.250, 0.250, 0.750) x4
Au (0.250, 0.250, 0.250) x4

The polymorph energy (0 for the lowest one) is 9 meV per atom.

Record 14
LaTbAgAu | PBE | optimized geometry

Lattice parameters (Å, degrees): 3.673 3.673 7.591 90.00 90.00 90.00
Space group P4mm (No. 99)
Asymmetric unit:
La (0.000, 0.000, 0.000) x1
Tb (0.000, 0.000, 0.488) x1
Ag (0.500, 0.500, 0.719) x1
Au (0.500, 0.500, 0.271) x1

The polymorph energy (0 for the lowest one) is 0 meV per atom.

Record 15
LaTbAgAu | PBE | optimized geometry

Lattice parameters (Å, degrees): 7.442 7.442 7.442 90.00 90.00 90.00
Space group F-43m (No. 216)
Asymmetric unit:
La (0.000, 0.000, 0.000) x4
Tb (0.000, 0.000, 0.500) x4
Ag (0.250, 0.250, 0.750) x4
Au (0.250, 0.250, 0.250) x4

The polymorph energy (0 for the lowest one) is 32 meV per atom.

Record 16
LaThAgAu | PBE | optimized geometry

Lattice parameters (Å, degrees): 7.516 7.516 7.516 90.00 90.00 90.00
Space group F-43m (No. 216)
Asymmetric unit:
La (0.000, 0.000, 0.000) x4
Th (0.000, 0.000, 0.500) x4
Ag (0.250, 0.250, 0.750) x4
Au (0.250, 0.250, 0.250) x4

The total energy comes out at -4.991 eV per atom.

Record 17
LaTiAg2Au | PBE | optimized geometry

Lattice parameters (Å, degrees): 4.990 4.990 5.474 90.00 90.00 90.00
Space group P4/mmm (No. 123)
Asymmetric unit:
La (0.000, 0.000, 0.000) x1
Ti (0.000, 0.000, 0.500) x1
Ag (0.000, 0.500, 0.500) x2
Au (0.500, 0.500, 0.000) x1

The total energy comes out at -3.639 eV per atom.

Record 18
La4TlAgAu2 | PBE | optimized geometry

Lattice parameters (Å, degrees): 5.4358 5.4358 26.5918 90.00 90.00 120.00
Space group R-3m (No. 166, hexagonal axes)
Asymmetric unit:
La (0.0000, 0.0000, 0.1205) x6
La (0.0000, 0.0000, 0.3713) x6
Tl (0.0000, 0.0000, 0.5000) x3
Ag (0.0000, 0.0000, 0.0000) x3
Au (0.0000, 0.0000, 0.2458) x6

The total energy comes out at -4.477 eV per atom.

Record 19
La4TlAg2Au | PBE | optimized geometry

Lattice parameters (Å, degrees): 5.4575 5.4575 26.5847 90.00 90.00 120.00
Space group R-3m (No. 166, hexagonal axes)
Asymmetric unit:
La (0.0000, 0.0000, 0.1187) x6
La (0.0000, 0.0000, 0.3694) x6
Tl (0.0000, 0.0000, 0.5000) x3
Ag (0.0000, 0.0000, 0.2430) x6
Au (0.0000, 0.0000, 0.0000) x3

The total energy comes out at -4.320 eV per atom.

Record 20
LaTlAgAu | PBE | optimized geometry

Lattice parameters (Å, degrees): 7.311 7.311 7.311 90.00 90.00 90.00
Space group F-43m (No. 216)
Asymmetric unit:
La (0.000, 0.000, 0.000) x4
Tl (0.000, 0.000, 0.500) x4
Ag (0.250, 0.250, 0.750) x4
Au (0.250, 0.250, 0.250) x4

The total energy comes out at -3.786 eV per atom.

Record 21
LaTmAgAu | PBE | optimized geometry

Lattice parameters (Å, degrees): 3.620 3.620 7.598 90.00 90.00 90.00
Space group P4mm (No. 99)
Asymmetric unit:
La (0.000, 0.000, 0.000) x1
Tm (0.000, 0.000, 0.487) x1
Ag (0.500, 0.500, 0.713) x1
Au (0.500, 0.500, 0.278) x1

The polymorph energy (0 for the lowest one) is 0 meV per atom.

Record 22
LaTmAgAu | PBE | optimized geometry

Lattice parameters (Å, degrees): 7.389 7.389 7.389 90.00 90.00 90.00
Space group F-43m (No. 216)
Asymmetric unit:
La (0.000, 0.000, 0.000) x4
Tm (0.000, 0.000, 0.500) x4
Ag (0.250, 0.250, 0.250) x4
Au (0.250, 0.250, 0.750) x4

The polymorph energy (0 for the lowest one) is 47 meV per atom.

Record 23
LaYAgAu | PBE | optimized geometry

Lattice parameters (Å, degrees): 7.438 7.438 7.438 90.00 90.00 90.00
Space group F-43m (No. 216)
Asymmetric unit:
La (0.000, 0.000, 0.000) x4
Y (0.000, 0.000, 0.500) x4
Ag (0.250, 0.250, 0.250) x4
Au (0.250, 0.250, 0.750) x4

The polymorph energy (0 for the lowest one) is 15 meV per atom.

Record 24
LaYAgAu | PBE | optimized geometry

Lattice parameters (Å, degrees): 4.834 3.865 11.319 90.00 90.00 90.00
Space group Amm2 (No. 38)
Asymmetric unit:
La (0.000, 0.000, 0.000) x2
Y (0.500, 0.000, 0.722) x2
Ag (0.500, 0.000, 0.440) x2
Au (0.000, 0.000, 0.275) x2

The polymorph energy (0 for the lowest one) is 0 meV per atom.

Record 25
La3Zn6AgAu2 | PBE | optimized geometry

Lattice parameters (Å, degrees): 6.3410 6.3410 7.9879 90.00 90.00 120.00
Space group P-3m1 (No. 164)
Asymmetric unit:
La (0.0000, 0.0000, 0.0000) x1
La (0.3333, 0.6667, 0.6990) x2
Zn (0.1960, 0.3921, 0.3378) x6
Ag (0.0000, 0.0000, 0.5000) x1
Au (0.3333, 0.6667, 0.0667) x2

The total energy comes out at -2.880 eV per atom.

Record 26
La2Zn4Ag3Au | PBE | optimized geometry

Lattice parameters (Å, degrees): 4.286 4.286 11.639 90.00 90.00 90.00
Space group P-4m2 (No. 115)
Asymmetric unit:
La (0.000, 0.500, 0.244) x2
Zn (0.000, 0.000, 0.500) x1
Zn (0.000, 0.500, 0.864) x2
Zn (0.500, 0.500, 0.500) x1
Ag (0.000, 0.000, 0.000) x1
Ag (0.000, 0.500, 0.639) x2
Au (0.500, 0.500, 0.000) x1

The total energy comes out at -2.985 eV per atom.

Record 27
LaZn5AgAu2 | PBE | optimized geometry

Lattice parameters (Å, degrees): 4.958 4.958 7.596 90.00 90.00 90.00
Space group P4/mmm (No. 123)
Asymmetric unit:
La (0.000, 0.000, 0.000) x1
Zn (0.000, 0.500, 0.296) x4
Zn (0.500, 0.500, 0.000) x1
Ag (0.000, 0.000, 0.500) x1
Au (0.500, 0.500, 0.321) x2

The total energy comes out at -2.400 eV per atom.

no.,Fermi-level density of states (states/eV/cell),volume (Å³/f.u.)
1,30.0,101.6
2,2.9,90.4
3,6.7,109.4
4,15.9,105.9
5,3.4,161.1
6,24.2,212.8
7,22.3,210.2
8,4.6,170.8
9,3.3,249.5
10,3.5,250.5
11,4.5,234.6
12,6.1,117.8
13,9.7,111.7
14,2.2,102.4
15,16.8,103.0
16,17.8,106.2
17,5.9,136.3
18,22.3,226.8
19,23.7,228.6
20,14.6,97.7
21,1.8,99.6
22,17.0,100.9
23,17.0,102.9
24,5.9,105.7
25,8.0,278.1
26,6.1,213.8
27,3.0,186.7